# 1
VASP calculation (PBE) on crystalline Zr2Fe2Cl at its relaxed geometry.

The crystal system is tetragonal.

The structure belongs to space group I4/mmm (No. 139); the cell edges are 3.412, 3.412 and 15.647 Å and the angles 90.00°, 90.00° and 90.00°. The inequivalent atoms are Zr at (0.000, 0.000, 0.125), Fe at (0.000, 0.500, 0.250) and Cl at (0.000, 0.000, 0.500).

---

# 2
VASP calculation (PBE) on crystalline ZrFeCl2 at its relaxed geometry.

The offset from the most stable computed form comes out at 0.00 eV/f.u. The crystal system is trigonal.

The structure belongs to space group R3m (No. 160, hexagonal axes); the cell edges are 3.3458, 3.3458 and 27.4102 Å and the angles 90.00°, 90.00° and 120.00°. The inequivalent atoms are Zr at (0.0000, 0.0000, 0.0000), Fe at (0.0000, 0.0000, 0.7452), Cl at (0.0000, 0.0000, 0.2685) and Cl at (0.0000, 0.0000, 0.4658).

---

# 3
VASP calculation (PBE) on crystalline ZrFeCl2 at its relaxed geometry.

The offset from the most stable computed form comes out at 3.21 eV/f.u. The crystal system is tetragonal.

The structure belongs to space group I-42d (No. 122); the cell edges are 5.497, 5.497 and 10.270 Å and the angles 90.00°, 90.00° and 90.00°. The inequivalent atoms are Zr at (0.000, 0.000, 0.000), Fe at (0.000, 0.000, 0.500) and Cl at (0.198, 0.250, 0.625).

---

Calculated final energy, -7.300; -5.897; -5.095 eV per atom (same order as the records).
Calculated formation energy from raw total energies, -126; -721; 82 meV/atom (same order as the records).
Calculated theoretical density, 6.007; 4.086; 4.665 Mg/m³ (same order as the records).